one) Compound: Hg2AsI
Source: Alexandria
Functional: GGA-PBE
Structure: relaxed

Cell lengths 6.5846, 6.5846, 8.1559 Å; angles 66.19, 66.19, 90.00 degrees
Closest atoms and distances in Å follow each position.
Fractional positions:
I 0.0000 0.0000 0.0000  4 Hg 3.22
I 0.7500 0.2500 0.5000  4 Hg 3.22
Hg 0.5396 0.1250 0.2500  2 As 2.59
Hg 0.2104 0.6250 0.2500  2 As 2.59
Hg 0.8750 0.7896 0.7500  2 As 2.59
Hg 0.3750 0.4604 0.7500  2 As 2.59
As 0.2500 0.7500 0.5000  4 Hg 2.59
As 0.5000 0.5000 0.0000  4 Hg 2.59

Output
**Total magnetic moment**: 0.00 μB/cell
**Density of states at the Fermi level**: 0.123 states/eV/cell

---

two) Compound: Hg2AsI
Source: Alexandria
Functional: GGA-PBE
Structure: relaxed

Cell lengths 7.7800, 9.5274, 9.0554 Å; angles 121.87, 90.00, 90.00 degrees
Closest atoms and distances in Å follow each position.
Fractional positions:
Hg 0.2499 0.3184 0.1429  2 As 2.62, 1 I 2.90
Hg 0.7501 0.6816 0.8571  2 As 2.62, 1 I 2.90
Hg 0.7499 0.1816 0.8571  2 As 2.62, 1 I 2.90
Hg 0.2501 0.8184 0.1429  2 As 2.62, 1 I 2.90
Hg 0.4998 0.7500 0.5001  2 As 2.56
Hg 0.9998 0.7500 0.4999  2 As 2.56
Hg 0.5002 0.2500 0.4999  2 As 2.56
Hg 0.0002 0.2500 0.5001  2 As 2.56
I 0.7499 0.8668 0.2348  1 Hg 2.90
I 0.2501 0.1332 0.7652  1 Hg 2.90
I 0.2499 0.6332 0.7652  1 Hg 2.90
I 0.7501 0.3668 0.2348  1 Hg 2.90
As 0.7498 0.8601 0.7157  4 Hg 2.56-2.62
As 0.2502 0.1399 0.2843  4 Hg 2.56-2.62
As 0.2498 0.6399 0.2843  4 Hg 2.56-2.62
As 0.7502 0.3601 0.7157  4 Hg 2.56-2.62

Output
**Total magnetic moment**: 0.00 μB/cell
**Density of states at the Fermi level**: 0.962 states/eV/cell

---

Verdict on stability: two) comes out on top.

---

one) Compound: HgAsI2
Source: Alexandria
Functional: GGA-PBE
Structure: relaxed

Cell lengths 5.4728, 5.4728, 5.4728 Å; angles 60.00, 60.00, 60.00 degrees
Closest atoms and distances in Å follow each position.
Fractional positions:
Hg 0.5000 0.5000 0.5000  8 I 3.35
I 0.2500 0.2500 0.2500  4 Hg 3.35, 4 As 3.35
I 0.7500 0.7500 0.7500  4 Hg 3.35, 4 As 3.35
As 0.0000 0.0000 0.0000  8 I 3.35

Output
**Total magnetic moment**: 0.00 μB/cell
**Density of states at the Fermi level**: 3.382 states/eV/cell

---

two) Compound: HgAsI2
Source: Alexandria
Functional: GGA-PBE
Structure: relaxed

Cell lengths 4.1468, 5.1835, 9.5372 Å; angles 105.77, 102.56, 90.00 degrees
Closest atoms and distances in Å follow each position.
Fractional positions:
Hg 0.7157 0.2157 0.4315  2 As 2.73, 2 I 2.97
I 0.3720 0.8720 0.7439  2 As 2.78
I 0.0969 0.0969 0.1938  2 Hg 2.97
As 0.3154 0.3154 0.6308  2 Hg 2.73, 2 I 2.78

Output
**Total magnetic moment**: 0.00 μB/cell
**Density of states at the Fermi level**: 1.898 states/eV/cell

---

three) Compound: HgAsI2
Source: Alexandria
Functional: GGA-PBE
Structure: relaxed

Cell lengths 9.0659, 9.0659, 9.0365 Å; angles 59.89, 59.89, 90.00 degrees
Closest atoms and distances in Å follow each position.
Fractional positions:
Hg 0.7500 0.2500 0.5000  12 I 5.29-5.32, 4 Hg 5.54, 4 As 5.54
Hg 0.0000 0.0000 0.0000  12 I 5.29-5.32, 4 Hg 5.54, 4 As 5.54
As 0.2500 0.7500 0.5000  4 I 2.77
As 0.5000 0.5000 0.0000  4 I 2.77
I 0.3760 0.1250 0.2500  2 As 2.77
I 0.3750 0.6240 0.7500  2 As 2.77
I 0.8750 0.6260 0.7500  2 As 2.77
I 0.3740 0.6250 0.2500  2 As 2.77

Output
**Total magnetic moment**: 0.00 μB/cell
**Density of states at the Fermi level**: 7.926 states/eV/cell

---

Verdict on stability: two) comes out on top.

---

one) Compound: Hg3AsI2
Source: Alexandria
Functional: GGA-PBE
Structure: relaxed

Cell lengths 8.8356, 8.9023, 8.6605 Å; angles 64.07, 76.59, 113.87 degrees
Closest atoms and distances in Å follow each position.
Fractional positions:
Hg 0.6880 0.9546 0.6382  1 As 2.77
Hg 0.7478 0.8281 0.2239  2 As 2.68-2.73, 1 I 2.85
Hg 0.2522 0.1719 0.7761  2 As 2.68-2.73, 1 I 2.85
Hg 0.3120 0.0454 0.3618  1 As 2.77
Hg 0.1327 0.3237 0.1118  1 As 2.54, 1 I 2.71
Hg 0.8673 0.6763 0.8882  1 As 2.54, 1 I 2.71
I 0.7956 0.3333 0.9232  1 Hg 2.71
I 0.5925 0.3190 0.4603  1 Hg 2.85
I 0.2044 0.6667 0.0768  1 Hg 2.71
I 0.4075 0.6810 0.5397  1 Hg 2.85
As 0.1112 0.0106 0.1619  4 Hg 2.54-2.77
As 0.8888 0.9894 0.8381  4 Hg 2.54-2.77

Output
**Total magnetic moment**: 0.00 μB/cell

---

two) Compound: Hg3AsI2
Source: Alexandria
Functional: GGA-PBE
Structure: relaxed

Cell lengths 8.3802, 8.6009, 7.8506 Å; angles 98.00, 122.26, 90.00 degrees
Closest atoms and distances in Å follow each position.
Fractional positions:
I 0.5640 0.9073 0.2774  2 Hg 2.93-2.99
I 0.7134 0.4073 0.2774  2 Hg 2.93-2.99
I 0.4360 0.0927 0.7226  2 Hg 2.93-2.99
I 0.2866 0.5927 0.7226  2 Hg 2.93-2.99
As 0.9765 0.7500 0.0000  5 Hg 2.57-2.82
As 0.0235 0.2500 0.0000  5 Hg 2.57-2.82
Hg 0.8496 0.9678 0.7268  2 As 2.80-2.82, 1 I 2.99
Hg 0.6697 0.7500 0.0000  1 As 2.57
Hg 0.1504 0.0322 0.2732  2 As 2.80-2.82, 1 I 2.99
Hg 0.3303 0.2500 0.0000  1 As 2.57
Hg 0.8772 0.4678 0.7268  2 As 2.80-2.82, 1 I 2.99
Hg 0.1228 0.5322 0.2732  2 As 2.80-2.82, 1 I 2.99

Output
**Total magnetic moment**: 0.00 μB/cell
**Density of states at the Fermi level**: 0.901 states/eV/cell

---

Verdict on stability: one) comes out on top.

---

one) Compound: Hg4AsI2
Source: Alexandria
Functional: GGA-PBE
Structure: relaxed

Cell lengths 5.4847, 5.4847, 8.9314 Å; angles 107.88, 107.88, 90.00 degrees
Closest atoms and distances in Å follow each position.
Fractional positions:
Hg 0.8287 0.8287 0.6573  1 As 2.76, 1 I 2.97
Hg 0.0000 0.5000 0.0000  2 As 2.74
Hg 0.1713 0.1713 0.3427  1 As 2.76, 1 I 2.97
Hg 0.5000 0.0000 0.0000  2 As 2.74
I 0.3562 0.3562 0.7124  1 Hg 2.97
I 0.6438 0.6438 0.2876  1 Hg 2.97
As 0.0000 0.0000 0.0000  6 Hg 2.74-2.76

Output
**Total magnetic moment**: 0.00 μB/cell
**Density of states at the Fermi level**: 2.222 states/eV/cell

---

two) Compound: Hg4AsI2
Source: Alexandria
Functional: GGA-PBE
Structure: relaxed

Cell lengths 5.3874, 5.5729, 7.6534 Å; angles 111.35, 90.00, 90.00 degrees
Closest atoms and distances in Å follow each position.
Fractional positions:
Hg 0.5000 0.0000 0.0000  2 As 2.69
Hg 0.0000 0.5000 0.0000  2 As 2.79
Hg 0.0000 0.1975 0.3950  1 As 2.82
Hg 0.0000 0.8025 0.6050  1 As 2.82
I 0.5000 0.6476 0.2952  6 Hg 3.42-3.49
I 0.5000 0.3524 0.7048  6 Hg 3.42-3.49
As 0.0000 0.0000 0.0000  6 Hg 2.69-2.82

Output
**Total magnetic moment**: 0.00 μB/cell
**Density of states at the Fermi level**: 1.589 states/eV/cell

---

Verdict on stability: one) comes out on top.

---

one) Compound: Hg2As2I
Source: Alexandria
Functional: GGA-PBE
Structure: relaxed

Cell lengths 5.3379, 5.3379, 6.0624 Å; angles 63.88, 63.88, 90.00 degrees
Closest atoms and distances in Å follow each position.
Fractional positions:
Hg 0.2500 0.7500 0.5000  4 As 2.91
Hg 0.7500 0.2500 0.5000  4 As 2.91
I 0.0000 0.0000 0.0000  2 As 3.54, 8 Hg 3.57
As 0.6273 0.6273 0.7453  1 As 2.42
As 0.3727 0.3727 0.2547  1 As 2.42

Output
**Total magnetic moment**: 0.00 μB/cell
**Density of states at the Fermi level**: 3.995 states/eV/cell

---

two) Compound: Hg2As2I
Source: Alexandria
Functional: GGA-PBE
Structure: relaxed

Cell lengths 3.9358, 3.9358, 9.1107 Å; angles 77.53, 77.53, 90.00 degrees
Closest atoms and distances in Å follow each position.
Fractional positions:
Hg 0.6102 0.6102 0.7796  4 As 3.12, 4 I 3.38
Hg 0.3898 0.3898 0.2204  4 As 3.12, 4 I 3.38
As 0.7500 0.2500 0.5000  4 As 2.78
As 0.2500 0.7500 0.5000  4 As 2.78
I 0.0000 0.0000 0.0000  8 Hg 3.38

Output
**Total magnetic moment**: 0.00 μB/cell
**Density of states at the Fermi level**: 3.319 states/eV/cell

---

Verdict on stability: one) comes out on top.